Cs2NiIO6 | GGA+U | optimized geometry

Summary:
E_tot in eV per atom: -4.47
Density in g/cm³: 4.669
D(E_F) in states/eV per cell: 4.11
Total magnetic moment in μB per formula unit: 0.96
Crystal system: trigonal

abc: 6.5357 6.5357 5.2627
angles: 90.00 90.00 120.00
Space group P-3m1 (No. 164)
Unique sites:
Cs 0.3333 0.6667 0.2802 [2 per cell]
Ni 0.0000 0.0000 0.5000 [1 per cell]
I 0.0000 0.0000 0.0000 [1 per cell]
O 0.1310 0.2619 0.7705 [6 per cell]